1.
A geometry-optimized Pm5Nd12Dy structure. Source: Alexandria, functional GGA-PBE.

abc: 10.605 10.605 5.930
angles: 90.01 90.01 110.30
Fractional coordinates of all 18 atoms:
Pm  0.000  0.000  0.000
Pm  0.137  0.863  0.500
Pm  0.364  0.636  0.000
Pm  0.636  0.364  0.000
Pm  0.863  0.137  0.500
Nd  0.027  0.669  0.008
Nd  0.169  0.526  0.492
Nd  0.201  0.201  0.552
Nd  0.302  0.302  0.051
Nd  0.331  0.973  0.992
Nd  0.474  0.831  0.508
Nd  0.526  0.169  0.492
Nd  0.669  0.027  0.008
Nd  0.698  0.698  0.949
Nd  0.799  0.799  0.448
Nd  0.831  0.474  0.508
Nd  0.973  0.331  0.992
Dy  0.500  0.500  0.500

Results
**Energy of formation**: 77 meV per atom
**Symmetry**: No. 12
**Total energy**: -84.2 eV/cell



2.
A geometry-optimized Pm3Nd4Dy5 structure. Source: Alexandria, functional GGA-PBE.

abc: 6.264 7.225 8.856
angles: 90.08 90.08 90.08
Fractional coordinates of all 12 atoms:
Pm  0.000  0.000  0.000
Pm  0.168  0.751  0.668
Pm  0.832  0.249  0.332
Nd  0.168  0.249  0.668
Nd  0.332  0.500  0.331
Nd  0.668  0.500  0.669
Nd  0.832  0.751  0.332
Dy  0.000  0.500  0.000
Dy  0.334  0.000  0.331
Dy  0.500  0.249  0.000
Dy  0.500  0.751  0.000
Dy  0.666  0.000  0.669

Results
**Offset from the most stable computed form**: 0.00 kJ/mol of atoms
**Energy of formation**: 14 meV per atom
**Symmetry**: No. 2
**Total energy**: -56.2 eV/cell



3.
A geometry-optimized Pm6NdDy12 structure. Source: Alexandria, functional GGA-PBE.

abc: 8.746 8.746 8.746
angles: 98.69 98.69 98.69
Fractional coordinates of all 19 atoms:
Pm  0.155  0.598  0.598
Pm  0.402  0.402  0.845
Pm  0.402  0.845  0.402
Pm  0.598  0.155  0.598
Pm  0.598  0.598  0.155
Pm  0.845  0.402  0.402
Nd  0.500  0.500  0.500
Dy  0.000  0.257  0.743
Dy  0.000  0.743  0.257
Dy  0.144  0.144  0.418
Dy  0.144  0.418  0.144
Dy  0.257  0.000  0.743
Dy  0.257  0.743  0.000
Dy  0.418  0.144  0.144
Dy  0.582  0.856  0.856
Dy  0.743  0.000  0.257
Dy  0.743  0.257  0.000
Dy  0.856  0.582  0.856
Dy  0.856  0.856  0.582

Results
**Offset from the most stable computed form**: 3.00 kJ/mol of atoms
**Energy of formation**: 210 meV per atom
**Symmetry**: No. 166
**Total energy**: -84.5 eV/cell



4.
A geometry-optimized Pm2Nd3Dy4 structure. Source: Alexandria, functional GGA-PBE.

abc: 10.191 10.191 6.162
angles: 95.43 95.43 70.23
Fractional coordinates of all 18 atoms:
Pm  0.017  0.740  0.680
Pm  0.260  0.983  0.820
Pm  0.740  0.017  0.180
Pm  0.983  0.260  0.320
Nd  0.101  0.899  0.250
Nd  0.235  0.435  0.406
Nd  0.435  0.235  0.906
Nd  0.565  0.765  0.094
Nd  0.765  0.565  0.594
Nd  0.899  0.101  0.750
Dy  0.080  0.355  0.850
Dy  0.315  0.590  0.982
Dy  0.355  0.080  0.350
Dy  0.410  0.685  0.518
Dy  0.590  0.315  0.482
Dy  0.645  0.920  0.650
Dy  0.685  0.410  0.018
Dy  0.920  0.645  0.150

Results
**Offset from the most stable computed form**: 7.50 kJ/mol of atoms
**Energy of formation**: 94 meV per atom
**Symmetry**: No. 15
**Total energy**: -82.7 eV/cell



5.
A geometry-optimized Pm2Nd8Dy structure. Source: Alexandria, functional GGA-PBE.

abc: 9.529 9.529 6.033
angles: 105.43 105.43 122.17
Fractional coordinates of all 11 atoms:
Pm  0.192  0.808  0.000
Pm  0.808  0.192  0.000
Nd  0.079  0.079  0.296
Nd  0.168  0.402  0.822
Nd  0.295  0.705  0.500
Nd  0.402  0.168  0.822
Nd  0.598  0.832  0.178
Nd  0.705  0.295  0.500
Nd  0.832  0.598  0.178
Nd  0.921  0.921  0.704
Dy  0.500  0.500  0.500

Results
**Offset from the most stable computed form**: 12.05 kJ/mol of atoms
**Energy of formation**: 138 meV per atom
**Symmetry**: No. 12
**Total energy**: -50.7 eV/cell



6.
A geometry-optimized Pm4NdDy7 structure. Source: Alexandria, functional GGA-PBE.

abc: 6.581 6.872 9.105
angles: 85.21 77.14 81.86
Fractional coordinates of all 12 atoms:
Pm  0.138  0.307  0.285
Pm  0.338  0.887  0.690
Pm  0.662  0.113  0.310
Pm  0.862  0.693  0.715
Nd  0.500  0.500  0.000
Dy  0.014  0.250  0.950
Dy  0.181  0.801  0.359
Dy  0.311  0.395  0.615
Dy  0.500  0.000  0.000
Dy  0.689  0.605  0.385
Dy  0.819  0.199  0.641
Dy  0.986  0.750  0.050

Results
**Offset from the most stable computed form**: 0.00 kJ/mol of atoms
**Energy of formation**: 85 meV per atom
**Symmetry**: No. 2
**Total energy**: -55.0 eV/cell



7.
A geometry-optimized Pm5Nd3Dy2 structure. Source: Alexandria, functional GGA-PBE.

abc: 9.334 9.334 9.967
angles: 108.53 108.53 108.47
Fractional coordinates of all 20 atoms:
Pm  0.020  0.980  0.750
Pm  0.140  0.387  0.772
Pm  0.272  0.728  0.250
Pm  0.387  0.140  0.272
Pm  0.475  0.525  0.250
Pm  0.525  0.475  0.750
Pm  0.613  0.860  0.728
Pm  0.728  0.272  0.750
Pm  0.860  0.613  0.228
Pm  0.980  0.020  0.250
Nd  0.021  0.273  0.054
Nd  0.229  0.771  0.750
Nd  0.273  0.021  0.554
Nd  0.727  0.979  0.446
Nd  0.771  0.229  0.250
Nd  0.979  0.727  0.946
Dy  0.220  0.467  0.448
Dy  0.467  0.220  0.948
Dy  0.533  0.780  0.052
Dy  0.780  0.533  0.552

Results
**Energy of formation**: 179 meV per atom
**Symmetry**: No. 15
**Total energy**: -90.9 eV/cell



8.
A geometry-optimized Pm16Nd7Dy6 structure. Source: Alexandria, functional GGA-PBE.

abc: 11.362 11.362 11.362
angles: 60.00 60.00 60.00
Fractional coordinates of all 29 atoms:
Pm  0.047  0.651  0.651
Pm  0.126  0.126  0.126
Pm  0.126  0.126  0.623
Pm  0.126  0.623  0.126
Pm  0.349  0.349  0.349
Pm  0.349  0.349  0.953
Pm  0.349  0.953  0.349
Pm  0.377  0.874  0.874
Pm  0.623  0.126  0.126
Pm  0.651  0.047  0.651
Pm  0.651  0.651  0.047
Pm  0.651  0.651  0.651
Pm  0.874  0.377  0.874
Pm  0.874  0.874  0.377
Pm  0.874  0.874  0.874
Pm  0.953  0.349  0.349
Nd  0.000  0.000  0.000
Nd  0.000  0.000  0.500
Nd  0.000  0.500  0.000
Nd  0.000  0.500  0.500
Nd  0.500  0.000  0.000
Nd  0.500  0.000  0.500
Nd  0.500  0.500  0.000
Dy  0.265  0.265  0.735
Dy  0.265  0.735  0.265
Dy  0.265  0.735  0.735
Dy  0.735  0.265  0.265
Dy  0.735  0.265  0.735
Dy  0.735  0.735  0.265

Results
**Energy of formation**: 231 meV per atom
**Symmetry**: No. 225
**Total energy**: -130.3 eV/cell



9.
A geometry-optimized Pm2Nd3Dy4 structure. Source: Alexandria, functional GGA-PBE.

abc: 6.252 6.263 8.071
angles: 82.63 75.10 80.37
Fractional coordinates of all 9 atoms:
Pm  0.167  0.333  0.333
Pm  0.833  0.667  0.667
Nd  0.057  0.111  0.777
Nd  0.500  0.000  0.000
Nd  0.943  0.889  0.223
Dy  0.278  0.554  0.888
Dy  0.390  0.775  0.446
Dy  0.610  0.225  0.554
Dy  0.722  0.446  0.112

Results
**Offset from the most stable computed form**: 0.00 kJ/mol of atoms
**Energy of formation**: 16 meV per atom
**Symmetry**: No. 2
**Total energy**: -42.1 eV/cell



10.
A geometry-optimized Pm2Nd2Dy7 structure. Source: Alexandria, functional GGA-PBE.

abc: 8.113 8.113 6.108
angles: 106.26 106.26 91.75
Fractional coordinates of all 11 atoms:
Pm  0.212  0.788  0.000
Pm  0.788  0.212  0.000
Nd  0.404  0.404  0.690
Nd  0.596  0.596  0.310
Dy  0.000  0.000  0.500
Dy  0.065  0.589  0.325
Dy  0.233  0.233  0.078
Dy  0.411  0.935  0.675
Dy  0.589  0.065  0.325
Dy  0.767  0.767  0.922
Dy  0.935  0.411  0.675

Results
**Energy of formation**: 149 meV per atom
**Symmetry**: No. 12
**Total energy**: -49.6 eV/cell



11.
A geometry-optimized Pm2Nd5Dy12 structure. Source: Alexandria, functional GGA-PBE.

abc: 10.051 10.051 8.722
angles: 113.34 113.34 54.22
Fractional coordinates of all 19 atoms:
Pm  0.171  0.829  0.000
Pm  0.829  0.171  0.000
Nd  0.218  0.218  0.231
Nd  0.263  0.263  0.703
Nd  0.500  0.500  0.500
Nd  0.737  0.737  0.297
Nd  0.782  0.782  0.769
Dy  0.067  0.067  0.721
Dy  0.095  0.656  0.547
Dy  0.171  0.537  0.090
Dy  0.344  0.905  0.453
Dy  0.454  0.454  0.816
Dy  0.463  0.829  0.910
Dy  0.537  0.171  0.090
Dy  0.546  0.546  0.184
Dy  0.656  0.095  0.547
Dy  0.829  0.463  0.910
Dy  0.905  0.344  0.453
Dy  0.933  0.933  0.279

Results
**Offset from the most stable computed form**: 19.46 kJ/mol of atoms
**Energy of formation**: 218 meV per atom
**Symmetry**: No. 12
**Total energy**: -84.4 eV/cell



12.
A geometry-optimized PmNd15Dy4 structure. Source: Alexandria, functional GGA-PBE.

abc: 5.171 5.171 25.753
angles: 90.00 90.00 90.00
Fractional coordinates of all 20 atoms:
Pm  0.000  0.000  0.000
Nd  0.000  0.500  0.101
Nd  0.000  0.500  0.301
Nd  0.000  0.500  0.500
Nd  0.000  0.500  0.699
Nd  0.000  0.500  0.899
Nd  0.500  0.000  0.101
Nd  0.500  0.000  0.301
Nd  0.500  0.000  0.500
Nd  0.500  0.000  0.699
Nd  0.500  0.000  0.899
Nd  0.500  0.500  0.000
Nd  0.500  0.500  0.201
Nd  0.500  0.500  0.400
Nd  0.500  0.500  0.600
Nd  0.500  0.500  0.799
Dy  0.000  0.000  0.201
Dy  0.000  0.000  0.400
Dy  0.000  0.000  0.600
Dy  0.000  0.000  0.799

Results
**Energy of formation**: 13 meV per atom
**Symmetry**: No. 123
**Total energy**: -94.4 eV/cell